(1)
First-principles (PBE) data for a relaxed Ti2AsS crystal, as listed in Alexandria via LeMat-Bulk.

Cell lengths 6.7232, 6.7232, 6.7232 Å; angles 29.53, 29.53, 29.53 degrees
Positions (direct):
Ti1 0.0000 0.0000 0.0000
Ti2 0.1626 0.1626 0.1626
As1 0.5809 0.5809 0.5809
S1 0.7482 0.7482 0.7482

Values from the calculation:
- M_tot: 0.03 Bohr magnetons per cell
- Formation energy from raw total energies: -1.04 eV/atom
- Final energy: -7.181 eV/atom

(2)
First-principles (PBE) data for a relaxed Ti2As2S crystal, as listed in Alexandria via LeMat-Bulk.

Cell lengths 6.9778, 5.1655, 10.7115 Å; angles 90.00, 90.00, 90.00 degrees
Positions (direct):
Ti1 0.1030 0.2500 0.2487
Ti2 0.1375 0.2500 0.5789
Ti3 0.3625 0.7500 0.0789
Ti4 0.3970 0.7500 0.7487
Ti5 0.6030 0.2500 0.2513
Ti6 0.6375 0.2500 0.9211
Ti7 0.8625 0.7500 0.4211
Ti8 0.8970 0.7500 0.7513
As1 0.1028 0.7500 0.2470
As2 0.1564 0.7500 0.5677
As3 0.3436 0.2500 0.0677
As4 0.3972 0.2500 0.7470
As5 0.6028 0.7500 0.2530
As6 0.6564 0.7500 0.9323
As7 0.8436 0.2500 0.4323
As8 0.8972 0.2500 0.7530
S1 0.1499 0.7500 0.9034
S2 0.3501 0.2500 0.4034
S3 0.6499 0.7500 0.5966
S4 0.8501 0.2500 0.0966

Values from the calculation:
- M_tot: 0.00 Bohr magnetons per cell
- Formation energy from raw total energies: -0.81 eV/atom
- Final energy: -6.657 eV/atom

(3)
First-principles (PBE) data for a relaxed Ti2AsS crystal, as listed in Alexandria via LeMat-Bulk.

Cell lengths 4.4297, 4.4297, 4.4297 Å; angles 60.00, 60.00, 60.00 degrees
Positions (direct):
Ti1 0.2500 0.2500 0.2500
Ti2 0.7500 0.7500 0.7500
As1 0.0000 0.0000 0.0000
S1 0.5000 0.5000 0.5000

Values from the calculation:
- M_tot: 0.00 Bohr magnetons per cell
- Formation energy from raw total energies: -0.81 eV/atom
- Final energy: -6.949 eV/atom

(4)
First-principles (PBE) data for a relaxed Ti5As2S crystal, as listed in Alexandria via LeMat-Bulk.

Cell lengths 6.8698, 10.1831, 3.6006 Å; angles 90.00, 90.00, 90.00 degrees
Positions (direct):
Ti1 0.0000 0.0000 0.0000
Ti2 0.1532 0.2967 0.0000
Ti3 0.2030 0.5752 0.5000
Ti4 0.2970 0.0752 0.5000
Ti5 0.3468 0.7967 0.0000
Ti6 0.5000 0.5000 0.0000
Ti7 0.6532 0.2033 0.0000
Ti8 0.7030 0.9248 0.5000
Ti9 0.7970 0.4248 0.5000
Ti10 0.8468 0.7033 0.0000
As1 0.0723 0.8239 0.5000
As2 0.4277 0.3239 0.5000
As3 0.5723 0.6761 0.5000
As4 0.9277 0.1761 0.5000
S1 0.0000 0.5000 0.0000
S2 0.5000 0.0000 0.0000

Values from the calculation:
- M_tot: 0.00 Bohr magnetons per cell
- Formation energy from raw total energies: -0.97 eV/atom
- Final energy: -7.586 eV/atom

(5)
First-principles (PBE) data for a relaxed TiAsS crystal, as listed in Alexandria via LeMat-Bulk.

Cell lengths 3.4311, 6.5721, 16.6882 Å; angles 90.00, 90.00, 90.00 degrees
Positions (direct):
Ti1 0.0000 0.1715 0.0000
Ti2 0.0000 0.2487 0.3242
Ti3 0.0000 0.2649 0.6614
Ti4 0.5000 0.7351 0.1614
Ti5 0.5000 0.7513 0.8242
Ti6 0.5000 0.8285 0.5000
As1 0.0000 0.5078 0.0738
As2 0.0000 0.5188 0.4567
As3 0.0000 0.9196 0.2395
As4 0.5000 0.0804 0.7395
As5 0.5000 0.4812 0.9567
As6 0.5000 0.4922 0.5738
S1 0.0000 0.5580 0.7574
S2 0.0000 0.9304 0.8962
S3 0.0000 0.9556 0.5802
S4 0.5000 0.0444 0.0802
S5 0.5000 0.0696 0.3962
S6 0.5000 0.4420 0.2574

Values from the calculation:
- M_tot: 0.00 Bohr magnetons per cell
- Formation energy from raw total energies: -0.68 eV/atom
- Final energy: -6.235 eV/atom

(6)
First-principles (PBE) data for a relaxed TiAsS3 crystal, as listed in Alexandria via LeMat-Bulk.

Cell lengths 4.6608, 4.6608, 4.6608 Å; angles 90.00, 90.00, 90.00 degrees
Positions (direct):
Ti1 0.0000 0.0000 0.0000
As1 0.5000 0.5000 0.5000
S1 0.0000 0.5000 0.5000
S2 0.5000 0.0000 0.5000
S3 0.5000 0.5000 0.0000

Values from the calculation:
- M_tot: 0.08 Bohr magnetons per cell
- Formation energy from raw total energies: 0.39 eV/atom
- Final energy: -4.595 eV/atom

(7)
First-principles (PBE) data for a relaxed TiAsS3 crystal, as listed in Alexandria via LeMat-Bulk.

Cell lengths 4.6752, 4.6752, 4.6752 Å; angles 90.00, 90.00, 90.00 degrees
Positions (direct):
Ti1 0.0000 0.0000 0.0000
As1 0.5000 0.5000 0.5000
S1 0.0000 0.0000 0.5000
S2 0.0000 0.5000 0.0000
S3 0.5000 0.0000 0.0000

Values from the calculation:
- M_tot: 0.56 Bohr magnetons per cell
- Formation energy from raw total energies: -0.06 eV/atom
- Final energy: -5.044 eV/atom

(8)
First-principles (PBE) data for a relaxed Ti7As2S2 crystal, as listed in Alexandria via LeMat-Bulk.

Cell lengths 7.7717, 7.7717, 7.7717 Å; angles 155.04, 65.91, 120.11 degrees
Positions (direct):
Ti1 0.0000 0.0000 0.0000
Ti2 0.2861 0.4077 0.8784
Ti3 0.3061 0.6261 0.6801
Ti4 0.5294 0.4077 0.1216
Ti5 0.5847 0.2353 0.3494
Ti6 0.8859 0.2353 0.6506
Ti7 0.9460 0.6261 0.3199
As1 0.2580 0.7580 0.5000
As2 0.6675 0.6675 0.0000
S1 0.1662 0.9260 0.2402
S2 0.6858 0.9260 0.7598

Values from the calculation:
- M_tot: 0.00 Bohr magnetons per cell
- Formation energy from raw total energies: -0.97 eV/atom
- Final energy: -7.592 eV/atom

(9)
First-principles (PBE) data for a relaxed Ti3AsS crystal, as listed in Alexandria via LeMat-Bulk.

Cell lengths 4.4713, 4.4713, 4.4713 Å; angles 90.00, 90.00, 90.00 degrees
Positions (direct):
Ti1 0.0000 0.0000 0.5000
Ti2 0.0000 0.5000 0.0000
Ti3 0.5000 0.0000 0.0000
As1 0.5000 0.5000 0.5000
S1 0.0000 0.0000 0.0000

Values from the calculation:
- M_tot: 0.87 Bohr magnetons per cell
- Formation energy from raw total energies: -0.37 eV/atom
- Final energy: -6.859 eV/atom

(10)
First-principles (PBE) data for a relaxed Ti2AsS crystal, as listed in Alexandria via LeMat-Bulk.

Cell lengths 6.2493, 6.2493, 6.2493 Å; angles 33.19, 33.19, 33.19 degrees
Positions (direct):
Ti1 0.2381 0.2381 0.2381
Ti2 0.7619 0.7619 0.7619
As1 0.0000 0.0000 0.0000
S1 0.5000 0.5000 0.5000

Values from the calculation:
- M_tot: 0.00 Bohr magnetons per cell
- Formation energy from raw total energies: -1.05 eV/atom
- Final energy: -7.188 eV/atom

(11)
First-principles (PBE) data for a relaxed TiAsS4 crystal, as listed in Alexandria via LeMat-Bulk.

Cell lengths 6.1702, 3.4156, 6.5852 Å; angles 90.00, 90.47, 90.00 degrees
Positions (direct):
Ti1 0.0000 0.0000 0.0000
As1 0.5000 0.5000 0.0000
S1 0.1676 0.5000 0.7890
S2 0.3256 0.0000 0.2134
S3 0.6744 0.0000 0.7866
S4 0.8324 0.5000 0.2110

Values from the calculation:
- M_tot: 0.00 Bohr magnetons per cell
- Formation energy from raw total energies: -0.60 eV/atom
- Final energy: -5.447 eV/atom

(12)
First-principles (PBE) data for a relaxed TiAs2S crystal, as listed in Alexandria via LeMat-Bulk.

Cell lengths 7.3157, 7.3157, 7.3157 Å; angles 134.21, 134.21, 66.76 degrees
Positions (direct):
Ti1 0.0000 0.0000 0.0000
Ti2 0.7500 0.2500 0.5000
As1 0.1146 0.6250 0.9896
As2 0.3750 0.3646 0.4896
As3 0.6354 0.1250 0.0104
As4 0.8750 0.8854 0.5104
S1 0.2500 0.7500 0.5000
S2 0.5000 0.5000 0.0000

Values from the calculation:
- M_tot: 0.00 Bohr magnetons per cell
- Formation energy from raw total energies: 0.21 eV/atom
- Final energy: -5.123 eV/atom